No. 1
A relaxed KZrAg3Te4 crystal. Source: OQMD via LeMat-Bulk, functional GGA-PBE.

Summary:
As for the energy above the most stable polymorph in this dataset: 0 meV per atom. As for the symmetry: P-43m.

Lattice parameters (Å, degrees): 6.871 6.871 6.871 90.00 90.00 90.00
Fractional coordinates of all 9 atoms:
Ag1 0.500 0.500 0.000
Ag2 0.500 0.000 0.500
Ag3 0.000 0.500 0.500
K1 0.000 0.000 0.000
Te1 0.270 0.270 0.270
Te2 0.730 0.730 0.270
Te3 0.730 0.270 0.730
Te4 0.270 0.730 0.730
Zr1 0.500 0.500 0.500

---

No. 2
A relaxed KThAg crystal. Source: OQMD via LeMat-Bulk, functional GGA-PBE.

Summary:
As for the energy above the most stable polymorph in this dataset: 0 meV per atom. As for the symmetry: F-43m.

Lattice parameters (Å, degrees): 5.263 5.263 5.263 60.00 60.00 60.00
Fractional coordinates of all 3 atoms:
Ag1 0.000 0.000 0.000
K1 0.250 0.250 0.250
Th1 0.750 0.750 0.750

---

No. 3
A relaxed KZrAg crystal. Source: OQMD via LeMat-Bulk, functional GGA-PBE.

Summary:
As for the energy above the most stable polymorph in this dataset: 0 meV per atom. As for the symmetry: F-43m.

Lattice parameters (Å, degrees): 5.078 5.078 5.078 60.00 60.00 60.00
Fractional coordinates of all 3 atoms:
Ag1 0.000 0.000 0.000
K1 0.250 0.250 0.250
Zr1 0.750 0.750 0.750

---

No. 4
A relaxed LiLa2AgS2O2 crystal. Source: OQMD via LeMat-Bulk, functional GGA-PBE.

Summary:
The value obtained for the raw total energy is -6.35 eV/atom. As for the symmetry: P-4m2.

Lattice parameters (Å, degrees): 4.038 4.038 8.904 90.00 90.00 90.00
Fractional coordinates of all 8 atoms:
Ag1 0.000 0.000 0.000
La1 0.500 0.000 0.361
La2 0.000 0.500 0.639
Li1 0.500 0.500 0.000
O1 0.000 0.000 0.500
O2 0.500 0.500 0.500
S1 0.000 0.500 0.179
S2 0.500 0.000 0.821

---

No. 5
A relaxed LiLa2AgSe2O2 crystal. Source: OQMD via LeMat-Bulk, functional GGA-PBE.

Summary:
The value obtained for the raw total energy is -6.17 eV/atom. As for the symmetry: P-4m2.

Lattice parameters (Å, degrees): 4.119 4.119 9.188 90.00 90.00 90.00
Fractional coordinates of all 8 atoms:
Ag1 0.000 0.000 0.000
La1 0.500 0.000 0.369
La2 0.000 0.500 0.631
Li1 0.500 0.500 0.000
O1 0.000 0.000 0.500
O2 0.500 0.500 0.500
Se1 0.000 0.500 0.186
Se2 0.500 0.000 0.814

---

No. 6
A relaxed LiLa2AgTe2O2 crystal. Source: OQMD via LeMat-Bulk, functional GGA-PBE.

Summary:
The value obtained for the raw total energy is -5.96 eV/atom. As for the symmetry: P-4m2.

Lattice parameters (Å, degrees): 4.229 4.229 9.702 90.00 90.00 90.00
Fractional coordinates of all 8 atoms:
Ag1 0.500 0.500 0.500
La1 0.500 0.000 0.119
La2 0.000 0.500 0.881
Li1 0.000 0.000 0.500
O1 0.000 0.000 0.000
O2 0.500 0.500 0.000
Te1 0.000 0.500 0.308
Te2 0.500 0.000 0.692

---

No. 7
A relaxed LiLaSi2Ag crystal. Source: OQMD via LeMat-Bulk, functional GGA-PBE.

Summary:
The value obtained for the raw total energy is -4.64 eV/atom. As for the symmetry: I-4m2.

Lattice parameters (Å, degrees): 6.157 6.157 6.157 139.74 139.74 58.24
Fractional coordinates of all 5 atoms:
Ag1 0.000 0.000 0.000
La1 0.250 0.750 0.500
Li1 0.500 0.500 0.000
Si1 0.641 0.141 0.500
Si2 0.859 0.359 0.500

---

No. 8
A relaxed LiLaSiAg2 crystal. Source: OQMD via LeMat-Bulk, functional GGA-PBE.

Summary:
The value obtained for the raw total energy is -3.88 eV/atom. As for the symmetry: I4mm.

Lattice parameters (Å, degrees): 6.003 6.003 6.003 136.14 136.14 63.77
Fractional coordinates of all 5 atoms:
Ag1 0.746 0.246 0.500
Ag2 0.246 0.746 0.500
La1 0.007 0.007 0.000
Li1 0.381 0.381 0.000
Si1 0.620 0.620 0.000

---

No. 9
A relaxed Li2LaAgSn crystal. Source: OQMD via LeMat-Bulk, functional GGA-PBE.

Summary:
The value obtained for the raw total energy is -3.47 eV/atom. As for the symmetry: I4mm.

Lattice parameters (Å, degrees): 7.289 7.289 7.289 146.46 146.46 48.17
Fractional coordinates of all 5 atoms:
Ag1 0.389 0.389 0.000
La1 0.000 0.000 0.000
Li1 0.750 0.250 0.500
Li2 0.250 0.750 0.500
Sn1 0.611 0.611 0.000

---

No. 10
A relaxed LiLaTlAg crystal. Source: OQMD via LeMat-Bulk, functional GGA-PBE.

Summary:
As for the energy above the most stable polymorph in this dataset: 0 meV per atom. As for the symmetry: F-43m.

Lattice parameters (Å, degrees): 5.077 5.077 5.077 60.00 60.00 60.00
Fractional coordinates of all 4 atoms:
Ag1 0.250 0.250 0.250
La1 0.000 0.000 0.000
Li1 0.750 0.750 0.750
Tl1 0.500 0.500 0.500

---

No. 11
A relaxed LiLaTlAg crystal. Source: OQMD via LeMat-Bulk, functional GGA-PBE.

Summary:
As for the energy above the most stable polymorph in this dataset: 23 meV per atom. As for the symmetry: F-43m.

Lattice parameters (Å, degrees): 5.215 5.215 5.215 60.00 60.00 60.00
Fractional coordinates of all 4 atoms:
Ag1 0.000 0.000 0.000
La1 0.250 0.250 0.250
Li1 0.750 0.750 0.750
Tl1 0.500 0.500 0.500

---

No. 12
A relaxed LiLaTlAg crystal. Source: OQMD via LeMat-Bulk, functional GGA-PBE.

Summary:
As for the energy above the most stable polymorph in this dataset: 71 meV per atom. As for the symmetry: F-43m.

Lattice parameters (Å, degrees): 5.131 5.131 5.131 60.00 60.00 60.00
Fractional coordinates of all 4 atoms:
Ag1 0.000 0.000 0.000
La1 0.500 0.500 0.500
Li1 0.750 0.750 0.750
Tl1 0.250 0.250 0.250